[1]
# DyTm2NpP4

An optimized crystal structure of DyTm2NpP4 (PBE, Alexandria via LeMat-Bulk).

Properties
ΔH_f (0 K) ... -1416 meV per atom

Geometry as POSCAR:
```
DyTm2NpP4
1.0
3.957 0.000 0.000
0.000 6.860 0.127
0.000 -2.390 6.422
P Tm Dy Np
4 2 1 1
Cartesian
1.978 3.370 4.912
0.000 -0.105 4.843
1.978 1.100 1.637
0.000 4.575 1.707
0.000 2.235 3.275
1.978 -1.195 3.211
1.978 3.430 0.064
0.000 0.000 0.000
```

=====

[2]
# CaY2Br

An optimized crystal structure of CaY2Br (PBE, Alexandria via LeMat-Bulk).

Properties
Formation energy (no corrections) ... 0.14 eV per atom
ΔE to the lowest computed polymorph ... 0.685 eV per atom

Geometry as POSCAR:
```
CaY2Br
1.0
5.713 0.000 0.000
2.856 4.947 0.000
2.856 1.649 4.664
Br Ca Y
1 1 2
Cartesian
5.713 3.298 2.332
8.569 4.947 3.498
0.000 0.000 0.000
2.856 1.649 1.166
```

=====

[3]
# TcAsPb

An optimized crystal structure of TcAsPb (PBE, Alexandria via LeMat-Bulk).

Properties
ΔE to the lowest computed polymorph ... 0.132 eV per atom
ΔH_f (0 K) ... 120 meV per atom

Geometry as POSCAR:
```
TcAsPb
1.0
-3.149 -0.244 -1.004
1.565 -2.660 1.208
-2.034 1.531 6.003
Pb As Tc
1 1 1
Cartesian
-2.305 -0.501 1.882
-1.913 1.440 5.646
-1.433 -0.781 4.682
```

=====

[4]
# SrLi2Rh3O8

An optimized crystal structure of SrLi2Rh3O8 (PBE, Alexandria via LeMat-Bulk).

Properties
Formation energy (no corrections) ... -1.28 eV per atom

Geometry as POSCAR:
```
SrLi2Rh3O8
1.0
-4.809 2.000 -3.494
-2.884 -3.954 -3.923
-5.925 -2.015 1.373
O Rh Li Sr
8 3 2 1
Cartesian
-7.966 -3.924 -2.539
-6.630 -2.092 -0.722
-5.654 -0.175 -3.577
-10.433 -3.066 -4.282
-4.840 -2.691 -3.758
-6.872 -1.846 -5.234
-8.858 -1.166 -2.341
-3.213 -0.915 -1.730
-8.304 -1.023 -0.413
-9.730 -2.978 -2.353
-7.352 -3.966 -0.625
-4.928 -1.611 0.232
-6.714 -1.946 -3.131
-8.950 -2.464 -5.979
```

=====

[5]
# GdHPd

An optimized crystal structure of GdHPd (PBE, Alexandria via LeMat-Bulk).

Properties
ΔE to the lowest computed polymorph ... 0.123 eV per atom

Geometry as POSCAR:
```
GdHPd
1.0
3.542 0.000 0.000
0.000 4.015 0.000
0.000 -2.008 3.477
Gd H Pd
1 1 1
Cartesian
2.364 0.000 2.318
0.587 2.008 1.159
0.592 0.000 0.000
```

=====

[6]
# PrNpCu2O8

An optimized crystal structure of PrNpCu2O8 (PBE, Alexandria via LeMat-Bulk).

Properties
Formation energy (no corrections) ... -1.64 eV per atom

Geometry as POSCAR:
```
PrNpCu2O8
1.0
-3.941 1.061 -3.433
-3.573 -0.618 3.911
4.131 4.868 0.905
O Cu Pr Np
8 2 1 1
Cartesian
-1.903 0.609 -0.247
0.903 4.258 2.833
-0.106 1.864 1.484
-2.500 3.108 1.154
-0.213 5.139 -0.720
0.411 2.284 -0.550
-5.554 0.618 0.902
-4.571 3.367 0.681
-1.600 2.236 2.528
-3.757 0.222 0.239
-1.784 3.076 -1.144
0.000 0.000 0.000
```

=====

[7]
# BeHgOsO6

An optimized crystal structure of BeHgOsO6 (PBE, Alexandria via LeMat-Bulk).

Properties
Formation energy (no corrections) ... -0.95 eV per atom

Geometry as POSCAR:
```
BeHgOsO6
1.0
4.933 0.000 0.000
2.467 4.272 0.000
0.000 0.000 4.985
O Hg Os Be
6 1 1 1
Cartesian
5.539 4.253 1.462
3.414 2.670 1.462
4.328 4.253 3.523
5.847 1.621 1.462
4.019 1.621 3.523
6.452 2.670 3.523
4.933 0.000 4.985
2.467 1.424 2.493
4.933 2.848 2.493
```

=====

[8]
# NaLaHg3

An optimized crystal structure of NaLaHg3 (PBE, Alexandria via LeMat-Bulk).

Properties
ΔE to the lowest computed polymorph ... 0.526 eV per atom
ΔH_f (0 K) ... 173 meV per atom

Geometry as POSCAR:
```
NaLaHg3
1.0
-0.368 5.739 1.967
-4.364 -1.619 3.908
4.214 -1.176 4.219
Hg La Na
3 1 1
Cartesian
-2.182 -0.810 1.954
-0.184 2.869 0.983
2.107 -0.588 2.109
0.000 0.000 0.000
-0.259 1.472 5.047
```